VASP calculation (GGA-PBE) on a geometry-optimized La2Cu3Au structure.

a b c (Å): 8.8865 8.5970 5.8864
angles (deg): 73.00 67.69 39.31
Element x y z (fractional)
1 La 0.2487 0.7513 0.7513
2 La 0.2500 0.2500 0.2500
3 La 0.7500 0.7500 0.7500
4 La 0.7513 0.2487 0.2487
5 Cu 0.1610 0.1610 0.8390
6 Cu 0.1609 0.6774 0.3226
7 Cu 0.3226 0.8391 0.1609
8 Cu 0.6774 0.1609 0.8391
9 Cu 0.8391 0.3226 0.6774
10 Cu 0.8390 0.8390 0.1610
11 Au 0.3332 0.3332 0.6668
12 Au 0.6668 0.6668 0.3332

As for the symmetry: Fmmm (69). For the final energy, the calculation gives -4.6337 eV/atom. For the formation energy, the calculation gives -0.397 eV/atom.